(1)
Material: HfTi2ZnC
Method: DFT, PBE-GGA
State: optimized geometry

a = 4.193 Å, b = 4.193 Å, c = 4.428 Å
α = 90.00°, β = 90.00°, γ = 90.00°
Fractional positions:
Zn  0.500  0.500  0.500
Hf  0.000  0.000  0.500
C  0.000  0.000  0.000
Ti  0.000  0.500  0.000
Ti  0.500  0.000  0.000

(2)
Material: HfZr2TiC
Method: DFT, PBE-GGA
State: optimized geometry

a = 4.678 Å, b = 4.678 Å, c = 4.200 Å
α = 90.00°, β = 90.00°, γ = 90.00°
Fractional positions:
C  0.000  0.000  0.000
Hf  0.500  0.500  0.500
Zr  0.000  0.500  0.000
Zr  0.500  0.000  0.000
Ti  0.000  0.000  0.500

(3)
Material: HfZrTi2C
Method: DFT, PBE-GGA
State: optimized geometry

a = 4.281 Å, b = 4.281 Å, c = 4.630 Å
α = 90.00°, β = 90.00°, γ = 90.00°
Fractional positions:
C  0.000  0.000  0.000
Hf  0.000  0.000  0.500
Zr  0.500  0.500  0.500
Ti  0.000  0.500  0.000
Ti  0.500  0.000  0.000

Polymorph energy (0 for the lowest one): 0.0 kJ/mol of atoms

Calculated volume (computed, Å³ per cell): 78 92 85
DOS(E_F) (computed, states/eV per cell): 2.709 5.326 6.747
Formation enthalpy at 0 K (computed, eV per atom): -0.4624 -0.2373 -0.2442